A plane-wave DFT calculation with PBE+U was carried out for a relaxed MnCF2 crystal.

Total energy = -5.00 eV per atom
E above lowest polymorph = 0.00 eV per formula unit
Total magnetic moment = 1.24 μB per atom

Unit cell a=6.312 b=6.312 c=6.312 alpha=127.48 beta=127.48 gamma=77.47
Fractional positions:
Mn 0.000 0.000 0.000
Mn 0.750 0.250 0.500
C 0.250 0.750 0.500
C 0.500 0.500 0.000
F 0.009 0.625 0.884
F 0.375 0.259 0.384
F 0.741 0.125 0.116
F 0.875 0.991 0.616